! Tb5Ge10Rh4 | Alexandria | SCAN | PBEsol geometry; values from VASP
&SYSTEM
  ibrav = 0, nat = 38, ntyp = 3
/
ATOMIC_SPECIES
Tb 158.93 Tb.upf
Ge 72.64 Ge.upf
Rh 102.91 Rh.upf
ATOMIC_POSITIONS angstrom
Tb 0.000 6.436 6.436
Tb 0.000 0.000 0.000
Tb 2.131 8.690 2.254
Tb 2.131 4.182 10.618
Tb 2.131 2.254 4.182
Tb 2.131 10.618 8.690
Tb 2.131 11.418 4.981
Tb 2.131 1.455 7.891
Tb 2.131 4.981 1.455
Tb 2.131 7.891 11.418
Ge 0.000 7.300 0.864
Ge 0.000 5.572 12.008
Ge 0.000 0.864 5.572
Ge 0.000 12.008 7.300
Ge 0.000 8.515 9.004
Ge 0.000 4.357 3.868
Ge 0.000 2.079 10.304
Ge 0.000 10.793 2.568
Ge 0.000 3.868 8.515
Ge 0.000 9.004 4.357
Ge 0.000 2.568 2.079
Ge 0.000 10.304 10.793
Ge 2.131 8.483 6.446
Ge 2.131 4.389 6.426
Ge 2.131 2.047 12.862
Ge 2.131 10.825 0.010
Ge 2.131 6.426 8.483
Ge 2.131 6.446 4.389
Ge 2.131 0.010 2.047
Ge 2.131 12.862 10.825
Rh 0.000 9.600 6.709
Rh 0.000 3.272 6.163
Rh 0.000 3.164 12.599
Rh 0.000 9.709 0.273
Rh 0.000 6.163 9.600
Rh 0.000 6.709 3.272
Rh 0.000 0.273 3.164
Rh 0.000 12.599 9.709
CELL_PARAMETERS angstrom
4.262 0.000 0.000
0.000 12.872 0.000
0.000 0.000 12.872
! formation energy = -0.9449 eV/atom
! N(E_F) = 6.96 states/eV/f.u.
! VASP energy = -30.41 eV per atom
! crystal system = tetragonal
! space group = P4/mbm